(A)
The following is a DFT calculation (PBE) of a relaxed structure of ZrBeS2Cl.

Calculated volume   84 Å³ per cell

Unit cell a=4.523 b=4.523 c=4.091 alpha=90.00 beta=90.00 gamma=90.00
Fractional coordinates of all 5 atoms:
Be: 0.000 0.000 0.000
S: 0.000 0.500 0.000
S: 0.500 0.000 0.000
Zr: 0.500 0.500 0.500
Cl: 0.000 0.000 0.500

(B)
The following is a DFT calculation (PBE) of a relaxed structure of ZrBeS2Cl.

Calculated volume   126 Å³ per cell

Unit cell a=4.999 b=4.999 c=5.039 alpha=90.00 beta=90.00 gamma=90.00
Fractional coordinates of all 5 atoms:
Be: 0.500 0.500 0.500
S: 0.000 0.500 0.000
S: 0.500 0.000 0.000
Zr: 0.000 0.000 0.000
Cl: 0.000 0.000 0.500

Which of them is least stable? Easy: (B).

(A)
The following is a DFT calculation (PBE) of a relaxed structure of Be2SbCl.

Calculated volume   74 Å³ per cell

Unit cell a=3.748 b=6.018 c=3.294 alpha=90.00 beta=90.00 gamma=90.00
Fractional coordinates of all 4 atoms:
Sb: 0.000 0.500 0.500
Be: 0.000 0.000 0.000
Be: 0.500 0.500 0.000
Cl: 0.500 0.000 0.500

(B)
The following is a DFT calculation (PBE) of a relaxed structure of Be2SbCl.

Calculated volume   76 Å³ per cell

Unit cell a=5.336 b=5.336 c=3.305 alpha=64.31 beta=64.31 gamma=80.90
Fractional coordinates of all 4 atoms:
Sb: 0.000 0.500 0.500
Be: 0.000 0.000 0.000
Be: 0.500 0.500 0.000
Cl: 0.500 0.000 0.500

Which of them is least stable? Easy: (A).

(A)
The following is a DFT calculation (PBE) of a relaxed structure of BeSb2Cl.

Calculated volume   97 Å³ per cell

Unit cell a=3.107 b=3.107 c=10.080 alpha=90.00 beta=90.00 gamma=90.00
Fractional coordinates of all 4 atoms:
Sb: 0.000 0.000 0.039
Sb: 0.500 0.500 0.309
Be: 0.000 0.000 0.517
Cl: 0.500 0.500 0.635

(B)
The following is a DFT calculation (PBE) of a relaxed structure of BeSb2Cl.

Calculated volume   93 Å³ per cell

Unit cell a=3.898 b=3.898 c=7.251 alpha=78.79 beta=78.79 gamma=60.08
Fractional coordinates of all 4 atoms:
Sb: 0.947 0.947 0.074
Sb: 0.553 0.553 0.426
Be: 0.250 0.250 0.250
Cl: 0.750 0.750 0.750

Which of them is least stable? Easy: (A).

(A)
The following is a DFT calculation (PBE) of a relaxed structure of BeSb2Cl.

Calculated volume   107 Å³ per cell

Unit cell a=3.450 b=3.450 c=9.004 alpha=90.00 beta=90.00 gamma=90.00
Fractional coordinates of all 4 atoms:
Sb: 0.000 0.000 0.065
Sb: 0.500 0.500 0.419
Be: 0.000 0.000 0.334
Cl: 0.500 0.500 0.683

(B)
The following is a DFT calculation (PBE) of a relaxed structure of BeSb2Cl.

Calculated volume   90 Å³ per cell

Unit cell a=3.457 b=5.679 c=4.584 alpha=90.00 beta=90.00 gamma=90.00
Fractional coordinates of all 4 atoms:
Sb: 0.000 0.000 0.000
Sb: 0.500 0.500 0.000
Be: 0.500 0.000 0.500
Cl: 0.000 0.500 0.500

Which of them is least stable? Easy: (B).